[1]
# Cs2MgAuO4

Cs2MgAuO4 after structural relaxation (PBE, Alexandria via LeMat-Bulk).

Results
Energy relative to the elements, uncorrected   -8.8 eV per formula unit

a = 5.9216 Å, b = 14.3053 Å, c = 21.1538 Å
α = 90.00°, β = 90.00°, γ = 90.00°
Space group Fddd (No. 70, origin choice 2)
Symmetry-distinct sites (fractional):
Cs 0.1250 0.1250 0.3000 [16 per cell]
Mg 0.1250 0.1250 0.1250 [8 per cell]
Au 0.1250 0.1250 0.6250 [8 per cell]
O 0.1244 0.2812 0.3784 [32 per cell]

---

[2]
# DyZnPtRh

DyZnPtRh after structural relaxation (PBE, Alexandria via LeMat-Bulk).

Results
Relative energy among the computed polymorphs   0.0 kJ per mole of atoms
Formation energy from the elements   -18.9 kcal/mol of atoms

a = 3.7242 Å, b = 4.2329 Å, c = 4.3479 Å
α = 90.00°, β = 90.00°, γ = 90.00°
Space group Pmmm (No. 47)
Symmetry-distinct sites (fractional):
Dy 0.0000 0.0000 0.0000 [1 per cell]
Zn 0.0000 0.5000 0.5000 [1 per cell]
Pt 0.5000 0.0000 0.5000 [1 per cell]
Rh 0.5000 0.5000 0.0000 [1 per cell]

---

[3]
# Cu2AsPt

Cu2AsPt after structural relaxation (PBE, Alexandria via LeMat-Bulk).

Results
Formation energy from the elements   2.5 kcal/mol of atoms

a = 6.9761 Å, b = 6.9761 Å, c = 5.0322 Å
α = 90.00°, β = 90.00°, γ = 90.00°
Space group I-42d (No. 122)
Symmetry-distinct sites (fractional):
Cu 0.2334 0.2500 0.1250 [8 per cell]
As 0.0000 0.0000 0.0000 [4 per cell]
Pt 0.0000 0.0000 0.5000 [4 per cell]

---

[4]
# Sn2OsRu

Sn2OsRu after structural relaxation (PBE, Alexandria via LeMat-Bulk).

Results
Relative energy among the computed polymorphs   95.0 kJ per mole of atoms
Formation energy from the elements   26.5 kcal/mol of atoms

a = 6.0059 Å, b = 6.0059 Å, c = 11.7990 Å
α = 90.00°, β = 90.00°, γ = 90.00°
Space group I-42d (No. 122)
Symmetry-distinct sites (fractional):
Sn 0.2493 0.2500 0.1250 [8 per cell]
Os 0.0000 0.0000 0.0000 [4 per cell]
Ru 0.0000 0.0000 0.5000 [4 per cell]

---

[5]
# LiSi2Rh

LiSi2Rh after structural relaxation (PBE, Alexandria via LeMat-Bulk).

Results
Relative energy among the computed polymorphs   9.0 kJ per mole of atoms
Energy relative to the elements, uncorrected   -1.6 eV per formula unit

a = 8.0809 Å, b = 2.8348 Å, c = 4.7267 Å
α = 90.00°, β = 98.55°, γ = 90.00°
Space group C2/m (No. 12)
Symmetry-distinct sites (fractional):
Li 0.0000 0.0000 0.0000 [2 per cell]
Si 0.2405 0.0000 0.7357 [4 per cell]
Rh 0.0000 0.5000 0.5000 [2 per cell]

---

[6]
# Y7Be

Y7Be after structural relaxation (PBE, Alexandria via LeMat-Bulk).

Results
Formation energy from the elements   4.8 kcal/mol of atoms

a = 9.8182 Å, b = 9.8182 Å, c = 9.8182 Å
α = 90.00°, β = 90.00°, γ = 90.00°
Space group Fm-3m (No. 225)
Symmetry-distinct sites (fractional):
Y 0.0000 0.0000 0.0000 [4 per cell]
Y 0.0000 0.2500 0.2500 [24 per cell]
Be 0.0000 0.0000 0.5000 [4 per cell]

---

[7]
# Cr2Ag2AsS6

Cr2Ag2AsS6 after structural relaxation (PBE, Alexandria via LeMat-Bulk).

Results
Energy relative to the elements, uncorrected   -4.2 eV per formula unit

a = 6.1713 Å, b = 10.6378 Å, c = 7.4800 Å
α = 90.00°, β = 103.68°, γ = 90.00°
Space group C2/m (No. 12)
Symmetry-distinct sites (fractional):
Cr 0.0000 0.1599 0.0000 [4 per cell]
Ag 0.0000 0.3416 0.5000 [4 per cell]
As 0.0000 0.5000 0.0000 [2 per cell]
S 0.1071 0.0000 0.8222 [4 per cell]
S 0.1241 0.3266 0.8251 [8 per cell]

---

[8]
# PuTl2TeS4

PuTl2TeS4 after structural relaxation (PBE, Alexandria via LeMat-Bulk).

Results
Energy relative to the elements, uncorrected   -5.0 eV per formula unit

a = 7.9155 Å, b = 3.9502 Å, c = 8.2603 Å
α = 90.00°, β = 115.41°, γ = 90.00°
Space group P2/m (No. 10)
Symmetry-distinct sites (fractional):
Pu 0.0000 0.0000 0.0000 [1 per cell]
Tl 0.0000 0.0000 0.5000 [1 per cell]
Tl 0.5000 0.5000 0.0000 [1 per cell]
Te 0.5000 0.5000 0.5000 [1 per cell]
S 0.0686 0.5000 0.8217 [2 per cell]
S 0.3749 0.0000 0.2487 [2 per cell]

---

[9]
# Zr2NiTe

Zr2NiTe after structural relaxation (PBE, Alexandria via LeMat-Bulk).

Results
Energy relative to the elements, uncorrected   -1.9 eV per formula unit

a = 3.7751 Å, b = 3.7751 Å, c = 21.0980 Å
α = 90.00°, β = 90.00°, γ = 120.00°
Space group R-3m (No. 166, hexagonal axes)
Symmetry-distinct sites (fractional):
Zr 0.0000 0.0000 0.2341 [6 per cell]
Ni 0.0000 0.0000 0.5000 [3 per cell]
Te 0.0000 0.0000 0.0000 [3 per cell]

---

[10]
# La2Al2Ge

La2Al2Ge after structural relaxation (PBE, Alexandria via LeMat-Bulk).

Results
Formation energy from the elements   -15.0 kcal/mol of atoms

a = 4.1602 Å, b = 27.1567 Å, c = 4.5747 Å
α = 90.00°, β = 90.00°, γ = 90.00°
Space group Cmcm (No. 63)
Symmetry-distinct sites (fractional):
La 0.0000 0.0747 0.2500 [4 per cell]
La 0.0000 0.2956 0.7500 [4 per cell]
Al 0.0000 0.3814 0.2500 [4 per cell]
Al 0.0000 0.4766 0.2500 [4 per cell]
Ge 0.0000 0.1742 0.7500 [4 per cell]

---

How do the records compare in total DFT energy (no corrections)? In the order shown, they have -4.396; -5.636; -4.613; -5.980; -5.426; -5.915; -5.324; -5.464; -6.983; -5.041 eV/atom.